[1]
Compound: BaScP
Source: the Alexandria database
Functional: PBE
Structure: optimized geometry

Lattice parameters (Å, degrees): 4.956 4.956 4.956 60.00 60.00 60.00
Sites, in units of the cell vectors:
Ba 0.500 0.500 0.500
Sc 0.000 0.000 0.000
P 0.250 0.250 0.250

Properties
SG: F-43m
energy above the most stable polymorph in this dataset: 1.58 eV/f.u.

[2]
Compound: BaScP3
Source: the Alexandria database
Functional: PBE
Structure: optimized geometry

Lattice parameters (Å, degrees): 5.416 5.416 5.416 90.00 90.00 90.00
Sites, in units of the cell vectors:
P 0.500 0.000 0.000
Sc 0.500 0.500 0.500
P 0.000 0.000 0.500
P 0.000 0.500 0.000
Ba 0.000 0.000 0.000

Properties
SG: Pm-3m
energy above the most stable polymorph in this dataset: 8.32 eV/f.u.

[3]
Compound: Ba2ScP
Source: the Alexandria database
Functional: PBE
Structure: optimized geometry

Lattice parameters (Å, degrees): 5.152 5.152 4.749 90.00 90.00 90.00
Sites, in units of the cell vectors:
Ba 0.000 0.500 0.000
P 0.500 0.500 0.500
Sc 0.000 0.000 0.500
Ba 0.500 0.000 0.000

Properties
SG: P4/mmm
VASP energy: -3.948 eV per atom

[4]
Compound: Ba2ScP
Source: the Alexandria database
Functional: PBE
Structure: optimized geometry

Lattice parameters (Å, degrees): 3.758 3.758 9.744 90.00 90.00 90.00
Sites, in units of the cell vectors:
Sc 0.500 0.500 0.649
Ba 0.000 0.000 0.937
P 0.000 0.000 0.592
Ba 0.500 0.500 0.321

Properties
SG: P4mm
VASP energy: -4.350 eV per atom

[5]
Compound: BaScP
Source: the Alexandria database
Functional: PBE
Structure: optimized geometry

Lattice parameters (Å, degrees): 5.134 5.134 5.134 60.00 60.00 60.00
Sites, in units of the cell vectors:
Ba 0.250 0.250 0.250
P 0.000 0.000 0.000
Sc 0.500 0.500 0.500

Properties
SG: F-43m
energy above the most stable polymorph in this dataset: 4.43 eV/f.u.